1.
Computed, not measured: a relaxed TaTeRu crystal at the PBE-GGA level of DFT.

a = 10.131 Å, b = 10.131 Å, c = 4.452 Å
α = 90.00°, β = 90.00°, γ = 162.23°
Sites, in units of the cell vectors:
Ta: 0.064 0.936 0.500
Ta: 0.936 0.064 0.000
Te: 0.331 0.669 0.289
Te: 0.669 0.331 0.789
Ru: 0.455 0.545 0.535
Ru: 0.545 0.455 0.035

Its symmetry is Cmc2_1. For the formation energy from raw total energies, the calculation gives -0.217 eV per atom. Its polymorph energy (0 for the lowest one) is 0.057 eV per formula unit. Its total energy is -49.840 eV/cell. The calculation puts the theoretical density at 9.76 Mg/m³.

2.
Computed, not measured: a relaxed NaTl2I3 crystal at the PBE-GGA level of DFT.

a = 8.534 Å, b = 8.534 Å, c = 8.534 Å
α = 147.26°, β = 131.81°, γ = 59.48°
Sites, in units of the cell vectors:
Na: 0.000 0.000 0.000
Tl: 0.331 0.331 0.000
Tl: 0.669 0.669 0.000
I: 0.149 0.649 0.500
I: 0.500 0.000 0.500
I: 0.851 0.351 0.500

Its symmetry is Immm. For the formation energy from raw total energies, the calculation gives -0.853 eV per atom. Its total energy is -15.823 eV/cell. The calculation puts the theoretical density at 5.43 Mg/m³.

3.
Computed, not measured: a relaxed Ac3ZnCu2O9 crystal at the PBE-GGA level of DFT.

a = 5.603 Å, b = 5.603 Å, c = 6.861 Å
α = 90.00°, β = 90.00°, γ = 120.00°
Sites, in units of the cell vectors:
Ac: 0.000 0.000 0.000
Ac: 0.333 0.667 0.667
Ac: 0.667 0.333 0.333
Zn: 0.000 0.000 0.500
Cu: 0.333 0.667 0.165
Cu: 0.667 0.333 0.835
O: 0.000 0.500 0.000
O: 0.169 0.338 0.329
O: 0.169 0.831 0.329
O: 0.338 0.169 0.671
O: 0.500 0.000 0.000
O: 0.500 0.500 0.000
O: 0.662 0.831 0.329
O: 0.831 0.169 0.671
O: 0.831 0.662 0.671

Its symmetry is P-3m1. For the formation energy from raw total energies, the calculation gives -2.059 eV per atom. Its total energy is -97.304 eV/cell. The calculation puts the theoretical density at 9.06 Mg/m³.

4.
Computed, not measured: a relaxed CuWBr2 crystal at the PBE-GGA level of DFT.

a = 3.335 Å, b = 3.356 Å, c = 8.341 Å
α = 90.00°, β = 100.59°, γ = 90.00°
Sites, in units of the cell vectors:
Cu: 0.000 0.000 0.000
W: 0.564 0.500 0.140
Br: 0.416 0.500 0.821
Br: 0.671 0.000 0.373

Its symmetry is Pm. For the formation energy from raw total energies, the calculation gives 0.272 eV per atom. Its polymorph energy (0 for the lowest one) is 0.000 eV per formula unit. Its total energy is -19.308 eV/cell. The calculation puts the theoretical density at 7.37 Mg/m³.

5.
Computed, not measured: a relaxed Cs2AgBr crystal at the PBE-GGA level of DFT.

a = 6.326 Å, b = 6.326 Å, c = 6.326 Å
α = 60.00°, β = 60.00°, γ = 60.00°
Sites, in units of the cell vectors:
Cs: 0.250 0.250 0.250
Cs: 0.750 0.750 0.750
Ag: 0.000 0.000 0.000
Br: 0.500 0.500 0.500

Its symmetry is Fm-3m. For the formation energy from raw total energies, the calculation gives -0.807 eV per atom. Its polymorph energy (0 for the lowest one) is 0.238 eV per formula unit. Its total energy is -9.461 eV/cell. The calculation puts the theoretical density at 4.21 Mg/m³.

6.
Computed, not measured: a relaxed Hg3GeRu crystal at the PBE-GGA level of DFT.

a = 5.151 Å, b = 5.151 Å, c = 5.151 Å
α = 90.00°, β = 90.00°, γ = 90.00°
Sites, in units of the cell vectors:
Hg: 0.000 0.000 0.500
Hg: 0.000 0.500 0.000
Hg: 0.500 0.000 0.000
Ge: 0.000 0.000 0.000
Ru: 0.500 0.500 0.500

Its symmetry is Pm-3m. Its polymorph energy (0 for the lowest one) is 1.658 eV per formula unit. The calculated formation energy is 1167 meV/atom. Its total energy is -8.962 eV/cell. The calculation puts the theoretical density at 9.42 Mg/m³.

7.
Computed, not measured: a relaxed Nb2HgB crystal at the PBE-GGA level of DFT.

a = 4.411 Å, b = 7.170 Å, c = 7.170 Å
α = 36.44°, β = 90.00°, γ = 90.00°
Sites, in units of the cell vectors:
Nb: 0.000 0.000 0.000
Nb: 0.000 0.328 0.328
Nb: 0.000 0.660 0.660
Nb: 0.500 0.166 0.166
Hg: 0.500 0.509 0.509
Hg: 0.500 0.819 0.819
B: 0.000 0.164 0.164
B: 0.000 0.492 0.492

Its symmetry is Amm2. Its polymorph energy (0 for the lowest one) is 1.384 eV per formula unit. The calculated formation energy is 80 meV/atom. Its total energy is -53.595 eV/cell. The calculation puts the theoretical density at 9.79 Mg/m³.

8.
Computed, not measured: a relaxed ScTlP3 crystal at the PBE-GGA level of DFT.

a = 4.997 Å, b = 4.997 Å, c = 4.997 Å
α = 90.00°, β = 90.00°, γ = 90.00°
Sites, in units of the cell vectors:
Sc: 0.000 0.000 0.000
Tl: 0.500 0.500 0.500
P: 0.000 0.000 0.500
P: 0.000 0.500 0.000
P: 0.500 0.000 0.000

Its symmetry is Pm-3m. Its polymorph energy (0 for the lowest one) is 0.000 eV per formula unit. The calculated formation energy is 263 meV/atom. Its total energy is -23.611 eV/cell. The calculation puts the theoretical density at 4.55 Mg/m³.

9.
Computed, not measured: a relaxed B2PdRh crystal at the PBE-GGA level of DFT.

a = 3.887 Å, b = 3.887 Å, c = 3.887 Å
α = 60.00°, β = 60.00°, γ = 60.00°
Sites, in units of the cell vectors:
B: 0.250 0.250 0.250
B: 0.750 0.750 0.750
Pd: 0.000 0.000 0.000
Rh: 0.500 0.500 0.500

Its symmetry is Fm-3m. Its polymorph energy (0 for the lowest one) is 0.587 eV per formula unit. The calculated formation energy is 355 meV/atom. Its total energy is -24.478 eV/cell. The calculation puts the theoretical density at 9.24 Mg/m³.

10.
Computed, not measured: a relaxed DyY4HoS8 crystal at the PBE-GGA level of DFT.

a = 8.052 Å, b = 8.052 Å, c = 8.052 Å
α = 60.01°, β = 60.01°, γ = 60.01°
Sites, in units of the cell vectors:
Dy: 0.000 0.000 0.000
Y: 0.000 0.000 0.500
Y: 0.000 0.500 0.000
Y: 0.500 0.000 0.000
Y: 0.625 0.625 0.625
Ho: 0.375 0.375 0.375
S: 0.227 0.758 0.758
S: 0.243 0.243 0.243
S: 0.243 0.243 0.771
S: 0.243 0.771 0.243
S: 0.757 0.757 0.757
S: 0.758 0.227 0.758
S: 0.758 0.758 0.227
S: 0.771 0.243 0.243

Its symmetry is R3m. For the formation energy from raw total energies, the calculation gives -1.940 eV per atom. Its total energy is -95.215 eV/cell. The calculation puts the theoretical density at 4.23 Mg/m³.

11.
Computed, not measured: a relaxed UTa2Se6 crystal at the PBE-GGA level of DFT.

a = 7.644 Å, b = 7.644 Å, c = 9.487 Å
α = 112.82°, β = 112.82°, γ = 27.62°
Sites, in units of the cell vectors:
U: 0.000 0.000 0.000
Ta: 0.319 0.319 0.643
Ta: 0.681 0.681 0.357
Se: 0.040 0.040 0.309
Se: 0.309 0.309 0.366
Se: 0.350 0.350 0.946
Se: 0.650 0.650 0.054
Se: 0.691 0.691 0.634
Se: 0.960 0.960 0.691

Its symmetry is C2/m. For the formation energy from raw total energies, the calculation gives -0.881 eV per atom. Its polymorph energy (0 for the lowest one) is 0.000 eV per formula unit. Its total energy is -63.830 eV/cell. The calculation puts the theoretical density at 7.57 Mg/m³.

12.
Computed, not measured: a relaxed YAgMo2 crystal at the PBE-GGA level of DFT.

a = 4.733 Å, b = 4.733 Å, c = 4.733 Å
α = 60.00°, β = 60.00°, γ = 60.00°
Sites, in units of the cell vectors:
Y: 0.000 0.000 0.000
Ag: 0.750 0.750 0.750
Mo: 0.250 0.250 0.250
Mo: 0.500 0.500 0.500

Its symmetry is F-43m. Its polymorph energy (0 for the lowest one) is 0.736 eV per formula unit. The calculated formation energy is 377 meV/atom. Its total energy is -29.468 eV/cell. The calculation puts the theoretical density at 8.61 Mg/m³.

Calculated values (μB per cell) of size of the total moment for the records, taken in order: 0.00, 0.00, 0.00, 0.00, 0.00, 2.71, 0.00, 0.00, 0.00, 0.00, 1.31, 0.00.
Calculated values (Å³/atom) of V for the records, taken in order: 23.24, 41.39, 12.44, 22.94, 44.74, 27.33, 16.84, 24.96, 10.38, 26.37, 26.17, 18.74.